(1)
A plane-wave DFT calculation with PBE was carried out for InGaPd3 after structural relaxation.

Values from the calculation:
Space-group type ... No. 221
Magnetization ... 0.0000 μB/atom
Energy above the most stable polymorph in this dataset ... 470 meV/atom
Raw total energy ... -4.275 eV/atom

Cell and atoms, written as POSCAR:
```
InGaPd3
1.0
4.633 0.000 0.000
0.000 4.633 0.000
0.000 0.000 4.633
Pd In Ga
3 1 1
Direct
0.500 0.000 0.000
0.000 0.000 0.500
0.000 0.500 0.000
0.500 0.500 0.500
0.000 0.000 0.000
```


(2)
A plane-wave DFT calculation with PBE was carried out for Nd4GePd after structural relaxation.

Values from the calculation:
Space-group type ... No. 36
Magnetization ... 0.0000 μB/atom
Raw total energy ... -5.185 eV/atom

Cell and atoms, written as POSCAR:
```
Nd4GePd
1.0
5.419 0.000 0.000
0.000 6.328 0.000
-2.710 0.000 10.631
Nd Ge Pd
8 2 2
Direct
0.288 0.062 0.575
0.697 0.077 0.394
0.712 0.562 0.425
0.111 0.804 0.222
0.444 0.837 0.887
0.303 0.577 0.606
0.889 0.304 0.778
0.556 0.337 0.113
0.842 0.824 0.683
0.158 0.324 0.317
0.422 0.329 0.845
0.578 0.829 0.155
```


(3)
A plane-wave DFT calculation with PBE was carried out for Mg2MnFe after structural relaxation.

Values from the calculation:
Space-group type ... No. 119
Magnetization ... 1.3646 μB/atom
Energy above the most stable polymorph in this dataset ... 117 meV/atom
Raw total energy ... -4.907 eV/atom

Cell and atoms, written as POSCAR:
```
Mg2MnFe
1.0
4.923 -0.009 0.000
1.756 4.600 0.000
-3.340 -2.295 2.796
Mg Fe Mn
2 1 1
Direct
0.000 0.000 0.000
0.250 0.750 0.500
0.750 0.250 0.500
0.500 0.500 0.000
```